[1]
DFT (PBE-GGA) results for crystalline Li4Ga2NiAu at its relaxed geometry.

Calculated values
Crystal system = tetragonal
VASP energy = -3.22 eV per atom

Lattice parameters (Å, degrees): 4.2491 4.2491 6.0816 90.00 90.00 90.00
Fractional positions:
Li  0.0000  0.5000  0.7413
Li  0.0000  0.0000  0.0000
Li  0.5000  0.0000  0.2587
Li  0.5000  0.5000  0.5000
Ni  0.0000  0.0000  0.5000
Au  0.5000  0.5000  0.0000
Ga  0.5000  0.0000  0.7213
Ga  0.0000  0.5000  0.2787

---

[2]
DFT (PBE-GGA) results for crystalline Li2Sc2Ga2NiAu at its relaxed geometry.

Calculated values
Crystal system = tetragonal
VASP energy = -4.49 eV per atom

Lattice parameters (Å, degrees): 4.3936 4.3936 6.3649 90.00 90.00 90.00
Fractional positions:
Ga  0.0000  0.5000  0.7693
Ga  0.5000  0.0000  0.2307
Sc  0.0000  0.5000  0.2305
Sc  0.5000  0.0000  0.7695
Li  0.5000  0.5000  0.5000
Li  0.0000  0.0000  0.0000
Au  0.0000  0.0000  0.5000
Ni  0.5000  0.5000  0.0000

---

[3]
DFT (PBE-GGA) results for crystalline Li4GaPAu2 at its relaxed geometry.

Calculated values
Crystal system = tetragonal
VASP energy = -3.35 eV per atom

Lattice parameters (Å, degrees): 4.1478 4.1478 6.7420 90.00 90.00 90.00
Fractional positions:
P  0.5000  0.5000  0.5000
Li  0.0000  0.5000  0.2675
Li  0.0000  0.0000  0.5000
Li  0.5000  0.0000  0.7325
Li  0.5000  0.5000  0.0000
Au  0.5000  0.0000  0.2466
Au  0.0000  0.5000  0.7534
Ga  0.0000  0.0000  0.0000

---

[4]
DFT (PBE-GGA) results for crystalline Li4GaPbAu2 at its relaxed geometry.

Calculated values
Crystal system = tetragonal
VASP energy = -3.08 eV per atom

Lattice parameters (Å, degrees): 4.4913 4.4913 6.6630 90.00 90.00 90.00
Fractional positions:
Ga  0.0000  0.0000  0.5000
Au  0.0000  0.5000  0.2851
Au  0.5000  0.0000  0.7149
Li  0.0000  0.0000  0.0000
Li  0.5000  0.0000  0.2774
Li  0.0000  0.5000  0.7226
Li  0.5000  0.5000  0.5000
Pb  0.5000  0.5000  0.0000

---

[5]
DFT (PBE-GGA) results for crystalline Li2Sc2Ga2PdAu at its relaxed geometry.

Calculated values
Crystal system = tetragonal
VASP energy = -4.53 eV per atom

Lattice parameters (Å, degrees): 4.5077 4.5077 6.3935 90.00 90.00 90.00
Fractional positions:
Ga  0.5000  0.0000  0.2427
Ga  0.0000  0.5000  0.7573
Li  0.0000  0.0000  0.0000
Li  0.5000  0.5000  0.5000
Au  0.0000  0.0000  0.5000
Sc  0.5000  0.0000  0.7568
Sc  0.0000  0.5000  0.2432
Pd  0.5000  0.5000  0.0000

---

[6]
DFT (PBE-GGA) results for crystalline Li2Sc2Ga2PtAu at its relaxed geometry.

Calculated values
Crystal system = tetragonal
VASP energy = -4.73 eV per atom

Lattice parameters (Å, degrees): 4.5082 4.5082 6.3779 90.00 90.00 90.00
Fractional positions:
Ga  0.5000  0.0000  0.7432
Ga  0.0000  0.5000  0.2568
Au  0.0000  0.0000  0.0000
Sc  0.5000  0.0000  0.2576
Sc  0.0000  0.5000  0.7424
Pt  0.5000  0.5000  0.5000
Li  0.5000  0.5000  0.0000
Li  0.0000  0.0000  0.5000

---

[7]
DFT (PBE-GGA) results for crystalline Li2Zn2Ga2PtAu at its relaxed geometry.

Calculated values
Crystal system = tetragonal
VASP energy = -3.20 eV per atom

Lattice parameters (Å, degrees): 4.3647 4.3647 6.2139 90.00 90.00 90.00
Fractional positions:
Ga  0.5000  0.0000  0.7360
Ga  0.0000  0.5000  0.2640
Zn  0.0000  0.5000  0.7420
Zn  0.5000  0.0000  0.2580
Li  0.5000  0.5000  0.0000
Li  0.0000  0.0000  0.5000
Au  0.0000  0.0000  0.0000
Pt  0.5000  0.5000  0.5000

---

[8]
DFT (PBE-GGA) results for crystalline LiGa2AuS4 at its relaxed geometry.

Calculated values
Crystal system = tetragonal
VASP energy = -4.17 eV per atom

Lattice parameters (Å, degrees): 6.5760 6.5760 6.5760 129.02 129.02 74.98
Fractional positions:
Au  0.2500  0.7500  0.5000
Li  0.5000  0.5000  0.0000
S  0.3778  0.8970  0.0322
S  0.8647  0.3456  0.9678
S  0.6544  0.6222  0.5192
S  0.1030  0.1353  0.4808
Ga  0.7500  0.2500  0.5000
Ga  0.0000  0.0000  0.0000